[1]
The following is a DFT calculation (PBE-GGA) of Li2CeEr after structural relaxation.

Properties
The total energy comes out at -3.316 eV per atom. For the energy of formation, the calculation gives 0.265 eV per atom. The value obtained for the density of states at the Fermi level is 6.3 states/eV/f.u. For the calculated volume, the calculation gives 102.5 Å³/cell. Its distance to the lowest polymorph of the same formula is 14 meV/atom. The total moment comes out at 0.48 μB per formula unit.

abc: 3.1473 3.1473 12.0845
angles: 82.52 82.52 60.00
Closest atoms and distances in Å follow each position.
Element x y z (fractional)
1 Li 0.0882 0.0882 0.7352  6 Li 3.15, 1 Ce 3.16, 3 Er 3.35
2 Li 0.9118 0.9118 0.2648  6 Li 3.15, 1 Ce 3.16, 3 Er 3.35
3 Ce 0.0000 0.0000 0.0000  6 Ce 3.15, 2 Li 3.16
4 Er 0.5000 0.5000 0.5000  6 Er 3.15, 6 Li 3.35

=====

[2]
The following is a DFT calculation (PBE-GGA) of LiCeEr2 after structural relaxation.

Properties
The total energy comes out at -4.105 eV per atom. For the energy of formation, the calculation gives 0.138 eV per atom. The value obtained for the density of states at the Fermi level is 6.7 states/eV/f.u. For the calculated volume, the calculation gives 112.4 Å³/cell. Its distance to the lowest polymorph of the same formula is 28 meV/atom. The total moment comes out at 0.60 μB per formula unit.

abc: 3.4003 3.4003 11.3946
angles: 81.42 81.42 60.00
Closest atoms and distances in Å follow each position.
Element x y z (fractional)
1 Li 0.6664 0.6664 0.0007  6 Er 3.36-3.37, 6 Li 3.40
2 Ce 0.5002 0.5002 0.4995  6 Ce 3.40, 6 Er 3.48-3.49
3 Er 0.0812 0.0812 0.7564  3 Li 3.37, 6 Er 3.40, 3 Ce 3.49
4 Er 0.2522 0.2522 0.2435  3 Li 3.36, 6 Er 3.40, 3 Ce 3.48

=====

[3]
The following is a DFT calculation (PBE-GGA) of LiCeEr2 after structural relaxation.

Properties
The total energy comes out at -4.042 eV per atom. For the energy of formation, the calculation gives 0.201 eV per atom. The value obtained for the density of states at the Fermi level is 8.0 states/eV/f.u. For the calculated volume, the calculation gives 109.7 Å³/cell. Its distance to the lowest polymorph of the same formula is 91 meV/atom. The total moment comes out at 0.25 μB per formula unit.

abc: 3.5827 5.5341 5.5341
angles: 90.00 90.00 90.00
Closest atoms and distances in Å follow each position.
Element x y z (fractional)
1 Li 0.5000 0.0000 0.0000  8 Er 3.30, 2 Li 3.58
2 Ce 0.5000 0.5000 0.5000  8 Er 3.30, 2 Ce 3.58
3 Er 0.0000 0.0000 0.5000  4 Ce 3.30, 4 Li 3.30, 2 Er 3.58
4 Er 0.0000 0.5000 0.0000  4 Ce 3.30, 4 Li 3.30, 2 Er 3.58

=====

[4]
The following is a DFT calculation (PBE-GGA) of LiCeEr after structural relaxation.

Properties
The total energy comes out at -3.961 eV per atom. For the energy of formation, the calculation gives 0.176 eV per atom. The value obtained for the density of states at the Fermi level is 6.0 states/eV/f.u. For the calculated volume, the calculation gives 81.8 Å³/cell. Its distance to the lowest polymorph of the same formula is 22 meV/atom. The total moment comes out at 1.04 μB per formula unit.

abc: 3.3994 3.3994 7.4717
angles: 103.15 103.15 90.00
Closest atoms and distances in Å follow each position.
Element x y z (fractional)
1 Er 0.6613 0.6613 0.3226  4 Li 3.30, 4 Er 3.40, 4 Ce 3.45
2 Ce 0.3367 0.3367 0.6733  4 Li 3.35, 4 Ce 3.40, 4 Er 3.45
3 Li 0.0020 0.0020 0.0040  4 Er 3.30, 4 Ce 3.35, 4 Li 3.40

=====

[5]
The following is a DFT calculation (PBE-GGA) of Li2CeEr after structural relaxation.

Properties
The total energy comes out at -3.331 eV per atom. For the energy of formation, the calculation gives 0.250 eV per atom. The value obtained for the density of states at the Fermi level is 7.7 states/eV/f.u. For the calculated volume, the calculation gives 100.2 Å³/cell. Its distance to the lowest polymorph of the same formula is 0 meV/atom. The total moment comes out at 1.08 μB per formula unit.

abc: 3.6457 3.6457 7.5422
angles: 90.00 90.00 90.00
Closest atoms and distances in Å follow each position.
Element x y z (fractional)
1 Li 0.0000 0.0000 0.7533  4 Er 3.18, 4 Ce 3.21
2 Li 0.0000 0.0000 0.2467  4 Er 3.18, 4 Ce 3.21
3 Ce 0.5000 0.5000 0.5000  8 Li 3.21
4 Er 0.5000 0.5000 0.0000  8 Li 3.18

=====

[6]
The following is a DFT calculation (PBE-GGA) of Li4CeEr after structural relaxation.

Properties
The total energy comes out at -2.839 eV per atom. For the energy of formation, the calculation gives 0.186 eV per atom. The value obtained for the density of states at the Fermi level is 10.5 states/eV/f.u. For the calculated volume, the calculation gives 141.3 Å³/cell. The total moment comes out at 1.77 μB per formula unit.

abc: 5.8459 5.8459 5.8459
angles: 60.00 60.00 60.00
Closest atoms and distances in Å follow each position.
Element x y z (fractional)
1 Li 0.6258 0.6258 0.1225  6 Li 2.90-2.94
2 Li 0.6258 0.1225 0.6258  6 Li 2.90-2.94
3 Li 0.6258 0.6258 0.6258  6 Li 2.90-2.94
4 Li 0.1225 0.6258 0.6258  6 Li 2.90-2.94
5 Ce 0.2500 0.2500 0.2500  12 Li 3.43, 4 Er 3.58
6 Er 0.0000 0.0000 0.0000  12 Li 3.43, 4 Ce 3.58

=====

[7]
The following is a DFT calculation (PBE-GGA) of LiCeEr2 after structural relaxation.

Properties
The total energy comes out at -4.048 eV per atom. For the energy of formation, the calculation gives 0.195 eV per atom. The value obtained for the density of states at the Fermi level is 6.2 states/eV/f.u. For the calculated volume, the calculation gives 118.2 Å³/cell. Its distance to the lowest polymorph of the same formula is 85 meV/atom. The total moment comes out at 0.29 μB per formula unit.

abc: 3.3973 3.3973 11.9838
angles: 81.85 81.85 60.00
Closest atoms and distances in Å follow each position.
Element x y z (fractional)
1 Li 0.0000 0.0000 0.0000  2 Er 3.16, 6 Li 3.40
2 Ce 0.5000 0.5000 0.5000  6 Er 3.38, 6 Ce 3.40
3 Er 0.0891 0.0891 0.7326  1 Li 3.16, 3 Ce 3.38, 6 Er 3.40
4 Er 0.9109 0.9109 0.2674  1 Li 3.16, 3 Ce 3.38, 6 Er 3.40

=====

[8]
The following is a DFT calculation (PBE-GGA) of LiCeEr after structural relaxation.

Properties
The total energy comes out at -3.983 eV per atom. For the energy of formation, the calculation gives 0.154 eV per atom. The value obtained for the density of states at the Fermi level is 5.2 states/eV/f.u. For the calculated volume, the calculation gives 82.4 Å³/cell. Its distance to the lowest polymorph of the same formula is 0 meV/atom. The total moment comes out at 0.66 μB per formula unit.

abc: 3.3668 3.3668 8.3965
angles: 90.00 90.00 120.00
Closest atoms and distances in Å follow each position.
Element x y z (fractional)
1 Li 0.0000 0.0000 0.0030  6 Li 3.37, 3 Er 3.37, 3 Ce 3.43
2 Ce 0.3333 0.6667 0.6664  6 Ce 3.37, 3 Er 3.42, 3 Li 3.43
3 Er 0.6667 0.3333 0.3306  6 Er 3.37, 3 Li 3.37, 3 Ce 3.42

=====

[9]
The following is a DFT calculation (PBE-GGA) of LiCeEr after structural relaxation.

Properties
The total energy comes out at -3.725 eV per atom. For the energy of formation, the calculation gives 0.412 eV per atom. The value obtained for the density of states at the Fermi level is 6.0 states/eV/f.u. For the calculated volume, the calculation gives 167.7 Å³/cell. Its distance to the lowest polymorph of the same formula is 258 meV/atom. The total moment comes out at 0.05 μB per formula unit.

abc: 3.8189 3.8189 11.5009
angles: 90.00 90.00 90.00
Closest atoms and distances in Å follow each position.
Element x y z (fractional)
1 Er 0.5000 0.0000 0.2703  5 Li 3.26-3.38
2 Er 0.0000 0.5000 0.7297  5 Li 3.26-3.38
3 Li 0.5000 0.0000 0.5533  4 Li 2.97, 1 Er 3.26
4 Li 0.0000 0.5000 0.4467  4 Li 2.97, 1 Er 3.26
5 Ce 0.5000 0.5000 0.0000  4 Ce 2.70
6 Ce 0.0000 0.0000 0.0000  4 Ce 2.70

=====

[10]
The following is a DFT calculation (PBE-GGA) of LiCeErLu after structural relaxation.

Properties
The total energy comes out at -4.006 eV per atom. For the energy of formation, the calculation gives 0.227 eV per atom. The value obtained for the density of states at the Fermi level is 8.3 states/eV/f.u. For the calculated volume, the calculation gives 112.2 Å³/cell. The total moment comes out at 1.26 μB per formula unit.

abc: 5.4142 5.4142 5.4142
angles: 60.00 60.00 60.00
Closest atoms and distances in Å follow each position.
Element x y z (fractional)
1 Lu 0.2500 0.2500 0.2500  4 Ce 3.32, 4 Er 3.32
2 Li 0.7500 0.7500 0.7500  4 Ce 3.32, 4 Er 3.32
3 Ce 0.0000 0.0000 0.0000  4 Li 3.32, 4 Lu 3.32
4 Er 0.5000 0.5000 0.5000  4 Lu 3.32, 4 Li 3.32

=====

[11]
The following is a DFT calculation (PBE-GGA) of LiCeErMo after structural relaxation.

Properties
The total energy comes out at -5.619 eV per atom. For the energy of formation, the calculation gives 0.192 eV per atom. The value obtained for the density of states at the Fermi level is 3.7 states/eV/f.u. For the calculated volume, the calculation gives 86.6 Å³/cell. The total moment comes out at 0.00 μB per formula unit.

abc: 4.9655 4.9655 4.9655
angles: 60.00 60.00 60.00
Closest atoms and distances in Å follow each position.
Element x y z (fractional)
1 Mo 0.2500 0.2500 0.2500  4 Ce 3.04, 4 Er 3.04
2 Li 0.7500 0.7500 0.7500  4 Er 3.04, 4 Ce 3.04
3 Ce 0.0000 0.0000 0.0000  4 Li 3.04, 4 Mo 3.04
4 Er 0.5000 0.5000 0.5000  4 Mo 3.04, 4 Li 3.04

=====

[12]
The following is a DFT calculation (PBE-GGA) of Li2Ce2ErPb2 after structural relaxation.

Properties
The total energy comes out at -4.231 eV per atom. For the energy of formation, the calculation gives -0.278 eV per atom. The value obtained for the density of states at the Fermi level is 11.2 states/eV/f.u. For the calculated volume, the calculation gives 171.8 Å³/cell. The total moment comes out at 2.57 μB per formula unit.

abc: 4.6668 4.6668 9.4974
angles: 75.78 75.78 60.00
Closest atoms and distances in Å follow each position.
Element x y z (fractional)
1 Li 0.5904 0.5904 0.2288  3 Pb 2.71
2 Li 0.4096 0.4096 0.7712  3 Pb 2.71
3 Ce 0.1436 0.1436 0.5693  3 Ce 2.98, 3 Li 3.26
4 Ce 0.8564 0.8564 0.4307  3 Ce 2.98, 3 Li 3.26
5 Er 0.0000 0.0000 0.0000  6 Pb 3.22, 6 Li 3.41
6 Pb 0.7314 0.7314 0.8059  3 Li 2.71
7 Pb 0.2686 0.2686 0.1941  3 Li 2.71

=====

[13]
The following is a DFT calculation (PBE-GGA) of LiCePrEr after structural relaxation.

Properties
The total energy comes out at -4.011 eV per atom. For the energy of formation, the calculation gives 0.287 eV per atom. The value obtained for the density of states at the Fermi level is 9.0 states/eV/f.u. For the calculated volume, the calculation gives 115.5 Å³/cell. The total moment comes out at 2.63 μB per formula unit.

abc: 5.4663 5.4663 5.4663
angles: 60.00 60.00 60.00
Closest atoms and distances in Å follow each position.
Element x y z (fractional)
1 Pr 0.2500 0.2500 0.2500  4 Ce 3.35, 4 Li 3.35
2 Li 0.5000 0.5000 0.5000  4 Pr 3.35, 4 Er 3.35
3 Ce 0.0000 0.0000 0.0000  4 Er 3.35, 4 Pr 3.35
4 Er 0.7500 0.7500 0.7500  4 Ce 3.35, 4 Li 3.35

=====

[14]
The following is a DFT calculation (PBE-GGA) of LiCeErPt after structural relaxation.

Properties
The total energy comes out at -5.140 eV per atom. For the energy of formation, the calculation gives -0.527 eV per atom. The value obtained for the density of states at the Fermi level is 8.2 states/eV/f.u. For the calculated volume, the calculation gives 89.3 Å³/cell. The total moment comes out at 0.89 μB per formula unit.

abc: 5.0170 5.0170 5.0170
angles: 60.00 60.00 60.00
Closest atoms and distances in Å follow each position.
Element x y z (fractional)
1 Li 0.2500 0.2500 0.2500  4 Ce 3.07, 4 Er 3.07
2 Ce 0.5000 0.5000 0.5000  4 Pt 3.07, 4 Li 3.07
3 Pt 0.7500 0.7500 0.7500  4 Ce 3.07, 4 Er 3.07
4 Er 0.0000 0.0000 0.0000  4 Li 3.07, 4 Pt 3.07